# 1
## CrIrAu2 (SCAN)

Data for a PBEsol-optimized structure of CrIrAu2.

## Properties
- E (eV per atom) = -56.7180
- ΔH_f (0 K) (meV per atom) = 231.4
- total magnetization (μB/cell) = 13.9

Lattice parameters (Å, degrees): 6.290 6.290 6.290 90.00 90.00 90.00
Positions (direct):
1 Cr 0.000 0.000 0.000
2 Cr 0.000 0.500 0.500
3 Cr 0.500 0.000 0.500
4 Cr 0.500 0.500 0.000
5 Ir 0.000 0.000 0.500
6 Ir 0.000 0.500 0.000
7 Ir 0.500 0.000 0.000
8 Ir 0.500 0.500 0.500
9 Au 0.250 0.250 0.250
10 Au 0.250 0.250 0.750
11 Au 0.250 0.750 0.250
12 Au 0.250 0.750 0.750
13 Au 0.750 0.250 0.250
14 Au 0.750 0.250 0.750
15 Au 0.750 0.750 0.250
16 Au 0.750 0.750 0.750

# 2
## CrIr2AuO (SCAN)

Data for a PBEsol-optimized structure of CrIr2AuO.

## Properties
- E (eV per atom) = -45.3151
- total magnetization (μB/cell) = 1.2

Lattice parameters (Å, degrees): 4.372 4.372 4.722 90.00 90.00 90.00
Positions (direct):
1 Cr 0.000 0.000 0.000
2 Ir 0.000 0.500 0.000
3 Ir 0.500 0.000 0.000
4 Au 0.000 0.000 0.500
5 O 0.500 0.500 0.500

Among the records above, which one has the highest total magnetization?
CrIrAu2

Which formula does entry 2 have?
CrIr2AuO